BaIn2Br: relaxed, PBE-GGA.

a = 5.4220 Å, b = 5.4273 Å, c = 8.8069 Å
α = 90.00°, β = 90.00°, γ = 90.00°
Space group Imm2 (No. 44)
One atom of each set of equivalent atoms:
Ba (0.0000, 0.0000, 0.0000)
In (0.0000, 0.0000, 0.5007)
In (0.0000, 0.5000, 0.2499)
Br (0.0000, 0.5000, 0.7500)

formation energy from raw total energies: -0.5988 eV per atom
polymorph energy (0 for the lowest one): 13.03 kJ per mole of atoms

Sr6Mg: relaxed, PBE-GGA.

a = 11.6606 Å, b = 11.6606 Å, c = 11.6606 Å
α = 90.00°, β = 90.00°, γ = 90.00°
Space group Im-3m (No. 229)
One atom of each set of equivalent atoms:
Sr (0.0000, 0.2500, 0.5000)
Mg (0.0000, 0.0000, 0.0000)

energy relative to the elements: 1.032 eV/atom

AlSb2Pb: relaxed, PBE-GGA.

a = 3.2955 Å, b = 5.8339 Å, c = 5.7953 Å
α = 90.00°, β = 90.02°, γ = 90.00°
Space group Pm (No. 6)
One atom of each set of equivalent atoms:
Al (0.0000, 0.0000, 0.0000)
Sb (0.1483, 0.5000, 0.9989)
Sb (0.8189, 0.0000, 0.4999)
Pb (0.4941, 0.5000, 0.4989)

formation energy from raw total energies: 0.1347 eV per atom
polymorph energy (0 for the lowest one): 8.74 kJ per mole of atoms

ZnSiRu2O: relaxed, PBE-GGA.

a = 4.4313 Å, b = 4.4313 Å, c = 4.4882 Å
α = 90.00°, β = 90.00°, γ = 90.00°
Space group P4/mmm (No. 123)
One atom of each set of equivalent atoms:
Zn (0.0000, 0.0000, 0.0000)
Si (0.0000, 0.0000, 0.5000)
Ru (0.0000, 0.5000, 0.5000)
O (0.5000, 0.5000, 0.0000)

formation energy from raw total energies: 1.1737 eV per atom

CdCoBr2: relaxed, PBE-GGA.

a = 3.4261 Å, b = 4.5023 Å, c = 14.1034 Å
α = 90.00°, β = 90.00°, γ = 90.00°
Space group Immm (No. 71)
One atom of each set of equivalent atoms:
Cd (0.0000, 0.0000, 0.0000)
Co (0.0000, 0.0000, 0.5000)
Br (0.0000, 0.5000, 0.1348)

formation energy from raw total energies: -0.0607 eV per atom
polymorph energy (0 for the lowest one): 6.26 kJ per mole of atoms

Nd2Er3Hg2: relaxed, PBE-GGA.

a = 11.8785 Å, b = 4.7616 Å, c = 8.2722 Å
α = 90.00°, β = 115.46°, γ = 90.00°
Space group C2/m (No. 12)
One atom of each set of equivalent atoms:
Nd (0.1338, 0.0000, 0.2860)
Er (0.0000, 0.5000, 0.5000)
Er (0.1288, 0.5000, 0.9547)
Hg (0.1521, 0.0000, 0.7000)

energy relative to the elements: -0.204 eV/atom

KNp2Se6: relaxed, PBE-GGA.

a = 4.0802 Å, b = 5.4936 Å, c = 21.9054 Å
α = 90.00°, β = 90.00°, γ = 90.00°
Space group Immm (No. 71)
One atom of each set of equivalent atoms:
K (0.0000, 0.0000, 0.0000)
Np (0.0000, 0.5000, 0.1820)
Se (0.0000, 0.0000, 0.2254)
Se (0.0000, 0.2453, 0.3918)

formation energy from raw total energies: -1.0131 eV per atom

KTiAl: relaxed, PBE-GGA.

a = 3.1197 Å, b = 3.7575 Å, c = 14.1763 Å
α = 90.00°, β = 91.73°, γ = 90.00°
Space group Pm (No. 6)
One atom of each set of equivalent atoms:
K (0.0000, 0.0000, 0.0000)
K (0.4007, 0.5000, 0.2994)
Ti (0.4703, 0.5000, 0.7852)
Ti (0.9568, 0.0000, 0.6881)
Al (0.4425, 0.5000, 0.5883)
Al (0.9272, 0.0000, 0.4865)

energy relative to the elements: 0.250 eV/atom
polymorph energy (0 for the lowest one): 17.18 kJ per mole of atoms

Q: What is the formula in the fifth record?
A: CdCoBr2

What did the seventh record say?
KNp2Se6: relaxed, PBE-GGA.

a = 4.0802 Å, b = 5.4936 Å, c = 21.9054 Å
α = 90.00°, β = 90.00°, γ = 90.00°
Space group Immm (No. 71)
One atom of each set of equivalent atoms:
K (0.0000, 0.0000, 0.0000)
Np (0.0000, 0.5000, 0.1820)
Se (0.0000, 0.0000, 0.2254)
Se (0.0000, 0.2453, 0.3918)

formation energy from raw total energies: -1.0131 eV per atom